Li3Fe5Co2O12 (PBE+U, relaxed); space-group type = No. 5; total moment = 23.0 Bohr magnetons per cell; uncorrected energy = -6.100 eV per atom
1.0
4.480 2.497 0.005
-4.480 2.497 0.005
0.000 1.828 9.601
Fe O Co Li
5 12 2 3
Direct
0.523 0.011 0.734
0.566 0.434 0.500
0.989 0.477 0.266
0.082 0.918 0.000
0.416 0.584 0.000
0.721 0.518 0.113
0.768 0.952 0.889
0.274 0.464 0.385
0.369 0.878 0.114
0.229 0.021 0.619
0.048 0.232 0.111
0.122 0.631 0.886
0.482 0.279 0.887
0.607 0.139 0.383
0.979 0.771 0.381
0.536 0.726 0.615
0.861 0.393 0.617
0.251 0.749 0.500
0.752 0.248 0.000
0.918 0.082 0.500
0.332 0.154 0.258
0.846 0.668 0.742